A plane-wave DFT calculation with PBE with a Hubbard U was carried out for crystalline PmCo2TeO8 at its relaxed geometry.

The space group is I-4m2 (No. 119) and the conventional cell measures 6.935, 6.935 and 6.384 Å, with angles of 90.00, 90.00 and 90.00 degrees. Symmetry generates all atoms from Pm at (0.000, 0.000, 0.000), Co at (0.000, 0.000, 0.500), Co at (0.000, 0.500, 0.750), Te at (0.000, 0.500, 0.250), O at (0.000, 0.204, 0.309) and O at (0.000, 0.337, 0.954).

Its magnetization is 10.03 Bohr magnetons per cell. The total energy comes out at -145.7 eV/cell. As for the volume: 12.8 A^3/atom. For the theoretical density, the calculation gives 5.6 g/cm³.


A plane-wave DFT calculation with PBE with a Hubbard U was carried out for crystalline Pm2TiCoO6 at its relaxed geometry.

The space group is P2_1/c (No. 14) and the conventional cell measures 5.441, 5.723 and 9.481 Å, with angles of 90.00, 124.64 and 90.00 degrees. Symmetry generates all atoms from Pm at (0.232, 0.064, 0.249), Ti at (0.500, 0.000, 0.000), Co at (0.000, 0.000, 0.500), O at (0.157, 0.191, 0.950), O at (0.257, 0.711, 0.945) and O at (0.359, 0.034, 0.758).

Its magnetization is 6.07 Bohr magnetons per cell. The total energy comes out at -162.4 eV/cell. As for the volume: 12.1 A^3/atom. For the theoretical density, the calculation gives 6.7 g/cm³.